Density functional theory data (PBE) for a relaxed NbVPtSe2 crystal.

Output
Size of the total moment   0.0 Bohr magnetons per cell
Total DFT energy (no corrections)   -0.4250 Ry per atom
Symmetry   No. 123
Raw formation energy   658 meV/atom

Unit cell a=4.5914 b=4.7966 c=4.5914 alpha=90.00 beta=90.00 gamma=90.00
Positions (direct):
V 0.0000 0.0000 0.0000
Pt 0.5000 0.5000 0.5000
Se 0.5000 0.0000 0.0000
Nb 0.0000 0.5000 0.0000
Se 0.0000 0.0000 0.5000